Density functional theory data (PBE-GGA) for a geometry-optimized La4Sm5 structure.

Summary:
**Space-group type**: C2/m (12)
**ΔH_f (0 K)**: 34 meV per atom

abc: 9.396 9.396 3.768
angles: 101.51 101.51 92.60
Sites, in units of the cell vectors:
1 La 0.045 0.670 0.857
2 La 0.330 0.955 0.143
3 La 0.670 0.045 0.857
4 La 0.955 0.330 0.143
5 Sm 0.000 0.000 0.500
6 Sm 0.296 0.296 0.796
7 Sm 0.374 0.626 0.500
8 Sm 0.626 0.374 0.500
9 Sm 0.704 0.704 0.204

Density functional theory data (PBE-GGA) for a geometry-optimized La6Sm7 structure.

Summary:
**Space-group type**: R-3m (166)
**ΔH_f (0 K)**: 215 meV per atom

abc: 12.417 12.417 12.417
angles: 31.58 31.58 31.58
Sites, in units of the cell vectors:
1 La 0.049 0.049 0.049
2 La 0.156 0.156 0.156
3 La 0.335 0.335 0.335
4 La 0.665 0.665 0.665
5 La 0.844 0.844 0.844
6 La 0.951 0.951 0.951
7 Sm 0.080 0.587 0.587
8 Sm 0.413 0.413 0.920
9 Sm 0.413 0.920 0.413
10 Sm 0.500 0.500 0.500
11 Sm 0.587 0.080 0.587
12 Sm 0.587 0.587 0.080
13 Sm 0.920 0.413 0.413

Density functional theory data (PBE-GGA) for a geometry-optimized La13Sm3 structure.

Summary:
**Space-group type**: Amm2 (38)
**ΔH_f (0 K)**: 10 meV per atom

abc: 10.555 7.384 7.384
angles: 89.90 90.00 90.00
Sites, in units of the cell vectors:
1 La 0.000 0.000 0.000
2 La 0.000 0.001 0.498
3 La 0.000 0.498 0.001
4 La 0.000 0.499 0.499
5 La 0.249 0.750 0.750
6 La 0.251 0.249 0.750
7 La 0.251 0.750 0.249
8 La 0.500 0.499 0.499
9 La 0.500 0.499 0.999
10 La 0.500 0.999 0.499
11 La 0.749 0.249 0.750
12 La 0.749 0.750 0.249
13 La 0.751 0.750 0.750
14 Sm 0.252 0.249 0.249
15 Sm 0.500 0.000 0.000
16 Sm 0.748 0.249 0.249

Density functional theory data (PBE-GGA) for a geometry-optimized LaSm7 structure.

Summary:
**Space-group type**: Fm-3m (225)
**ΔH_f (0 K)**: 10 meV per atom

abc: 7.285 7.285 7.285
angles: 60.00 60.00 60.00
Sites, in units of the cell vectors:
1 La 0.000 0.000 0.000
2 Sm 0.000 0.000 0.500
3 Sm 0.000 0.500 0.000
4 Sm 0.000 0.500 0.500
5 Sm 0.500 0.000 0.000
6 Sm 0.500 0.000 0.500
7 Sm 0.500 0.500 0.000
8 Sm 0.500 0.500 0.500

Density functional theory data (PBE-GGA) for a geometry-optimized LaSm2 structure.

Summary:
**Space-group type**: C2/m (12)
**ΔH_f (0 K)**: 51 meV per atom

abc: 10.054 5.815 3.579
angles: 90.00 90.05 90.00
Sites, in units of the cell vectors:
1 La 0.000 0.000 0.000
2 La 0.500 0.500 0.000
3 Sm 0.166 0.500 0.500
4 Sm 0.334 0.000 0.500
5 Sm 0.666 0.000 0.500
6 Sm 0.834 0.500 0.500

Density functional theory data (PBE-GGA) for a geometry-optimized LaSm structure.

Summary:
**Space-group type**: Pm-3m (221)
**ΔH_f (0 K)**: 114 meV per atom

abc: 4.149 4.149 4.149
angles: 90.00 90.00 90.00
Sites, in units of the cell vectors:
1 La 0.000 0.000 0.000
2 Sm 0.500 0.500 0.500

Respective total DFT energy (no corrections) values: -43.001; -59.810; -78.060; -37.879; -28.424; -9.418 eV for the cell shown.
Respective total magnetization values: 0.00; 0.00; 0.00; 0.00; 0.00; 0.00 μB per atom.